# Li2SeCl GGA-PBEsol relaxed
data_Li2SeCl
_chemical_formula_sum 'Li2 Se1 Cl1'
_symmetry_space_group_name_H-M 'P 1'
_symmetry_Int_Tables_number 1
_symmetry_space_group_name_Hall 'P 1'
_cell_length_a 3.149
_cell_length_b 3.317
_cell_length_c 7.123
_cell_angle_alpha 90.06
_cell_angle_beta 102.77
_cell_angle_gamma 90.00
loop_
_atom_site_label
_atom_site_type_symbol
_atom_site_fract_x
_atom_site_fract_y
_atom_site_fract_z
_atom_site_occupancy
Li1 Li 0.949 0.124 0.898 1
Cl1 Cl 0.784 0.125 0.568 1
Li2 Li 0.220 0.625 0.440 1
Se1 Se 0.547 0.625 0.094 1
# SG	No. 38
# formation energy from raw total energies	-1226	meV per atom
# total energy	-3.674	eV/atom
# total magnetization	0.00	μB per formula unit



# LiSeCl GGA-PBEsol relaxed
data_LiSeCl
_chemical_formula_sum 'Li1 Se1 Cl1'
_symmetry_space_group_name_H-M 'P 1'
_symmetry_Int_Tables_number 1
_symmetry_space_group_name_Hall 'P 1'
_cell_length_a 4.367
_cell_length_b 4.367
_cell_length_c 4.367
_cell_angle_alpha 60.00
_cell_angle_beta 60.00
_cell_angle_gamma 60.00
loop_
_atom_site_label
_atom_site_type_symbol
_atom_site_fract_x
_atom_site_fract_y
_atom_site_fract_z
_atom_site_occupancy
Li1 Li 0.250 0.250 0.250 1
Se1 Se 0.000 0.000 0.000 1
Cl1 Cl 0.500 0.500 0.500 1
# SG	No. 216
# formation energy from raw total energies	-347	meV per atom
# total energy	-2.956	eV/atom
# total magnetization	0.00	μB per formula unit



# LiYSeCl2 GGA-PBEsol relaxed
data_LiYSeCl2
_chemical_formula_sum 'Li1 Y1 Se1 Cl2'
_symmetry_space_group_name_H-M 'P 1'
_symmetry_Int_Tables_number 1
_symmetry_space_group_name_Hall 'P 1'
_cell_length_a 4.969
_cell_length_b 6.505
_cell_length_c 6.505
_cell_angle_alpha 90.00
_cell_angle_beta 90.00
_cell_angle_gamma 90.00
loop_
_atom_site_label
_atom_site_type_symbol
_atom_site_fract_x
_atom_site_fract_y
_atom_site_fract_z
_atom_site_occupancy
Cl1 Cl 0.000 0.000 0.500 1
Cl2 Cl 0.000 0.500 0.000 1
Li1 Li 0.500 0.500 0.500 1
Y1 Y 0.500 0.000 0.000 1
Se1 Se 0.000 0.000 0.000 1
# SG	No. 123
# formation energy from raw total energies	-356	meV per atom
# total energy	-3.687	eV/atom
# total magnetization	0.00	μB per formula unit



# LiSn3Cl GGA-PBEsol relaxed
data_LiSn3Cl
_chemical_formula_sum 'Li1 Sn3 Cl1'
_symmetry_space_group_name_H-M 'P 1'
_symmetry_Int_Tables_number 1
_symmetry_space_group_name_Hall 'P 1'
_cell_length_a 5.349
_cell_length_b 5.349
_cell_length_c 5.349
_cell_angle_alpha 90.00
_cell_angle_beta 90.00
_cell_angle_gamma 90.00
loop_
_atom_site_label
_atom_site_type_symbol
_atom_site_fract_x
_atom_site_fract_y
_atom_site_fract_z
_atom_site_occupancy
Sn1 Sn 0.500 0.000 0.000 1
Sn2 Sn 0.000 0.000 0.500 1
Li1 Li 0.500 0.500 0.500 1
Cl1 Cl 0.000 0.000 0.000 1
Sn3 Sn 0.000 0.500 0.000 1
# SG	No. 221
# formation energy from raw total energies	269	meV per atom
# total energy	-3.081	eV/atom
# total magnetization	0.00	μB per formula unit



# LiSnCl3 GGA-PBEsol relaxed
data_LiSnCl3
_chemical_formula_sum 'Li2 Sn2 Cl6'
_symmetry_space_group_name_H-M 'P 1'
_symmetry_Int_Tables_number 1
_symmetry_space_group_name_Hall 'P 1'
_cell_length_a 6.840
_cell_length_b 6.840
_cell_length_c 7.118
_cell_angle_alpha 61.28
_cell_angle_beta 61.28
_cell_angle_gamma 60.00
loop_
_atom_site_label
_atom_site_type_symbol
_atom_site_fract_x
_atom_site_fract_y
_atom_site_fract_z
_atom_site_occupancy
Sn1 Sn 0.505 0.505 0.485 1
Cl1 Cl 0.659 0.084 0.785 1
Cl2 Cl 0.584 0.159 0.285 1
Cl3 Cl 0.972 0.584 0.285 1
Sn2 Sn 0.005 0.005 0.985 1
Li1 Li 0.808 0.808 0.575 1
Li2 Li 0.308 0.308 0.075 1
Cl4 Cl 0.084 0.472 0.785 1
Cl5 Cl 0.159 0.972 0.285 1
Cl6 Cl 0.472 0.659 0.785 1
# SG	No. 161
# formation energy from raw total energies	-1308	meV per atom
# total energy	-3.758	eV/atom
# total magnetization	0.00	μB per formula unit



# LiSn3Cl GGA-PBEsol relaxed
data_LiSn3Cl
_chemical_formula_sum 'Li1 Sn3 Cl1'
_symmetry_space_group_name_H-M 'P 1'
_symmetry_Int_Tables_number 1
_symmetry_space_group_name_Hall 'P 1'
_cell_length_a 5.013
_cell_length_b 5.013
_cell_length_c 5.013
_cell_angle_alpha 90.00
_cell_angle_beta 90.00
_cell_angle_gamma 90.00
loop_
_atom_site_label
_atom_site_type_symbol
_atom_site_fract_x
_atom_site_fract_y
_atom_site_fract_z
_atom_site_occupancy
Li1 Li 0.000 0.000 0.000 1
Cl1 Cl 0.500 0.500 0.500 1
Sn1 Sn 0.500 0.000 0.000 1
Sn2 Sn 0.000 0.000 0.500 1
Sn3 Sn 0.000 0.500 0.000 1
# SG	No. 221
# formation energy from raw total energies	104	meV per atom
# total energy	-3.247	eV/atom
# total magnetization	0.00	μB per formula unit



# Li3SnCl GGA-PBEsol relaxed
data_Li3SnCl
_chemical_formula_sum 'Li3 Sn1 Cl1'
_symmetry_space_group_name_H-M 'P 1'
_symmetry_Int_Tables_number 1
_symmetry_space_group_name_Hall 'P 1'
_cell_length_a 4.596
_cell_length_b 4.596
_cell_length_c 4.596
_cell_angle_alpha 90.00
_cell_angle_beta 90.00
_cell_angle_gamma 90.00
loop_
_atom_site_label
_atom_site_type_symbol
_atom_site_fract_x
_atom_site_fract_y
_atom_site_fract_z
_atom_site_occupancy
Li1 Li 0.500 0.000 0.000 1
Li2 Li 0.000 0.500 0.000 1
Sn1 Sn 0.500 0.500 0.500 1
Li3 Li 0.000 0.000 0.500 1
Cl1 Cl 0.000 0.000 0.000 1
# SG	No. 221
# formation energy from raw total energies	-711	meV per atom
# total energy	-3.144	eV/atom
# total magnetization	0.00	μB per formula unit



# Li3SnCl GGA-PBEsol relaxed
data_Li3SnCl
_chemical_formula_sum 'Li3 Sn1 Cl1'
_symmetry_space_group_name_H-M 'P 1'
_symmetry_Int_Tables_number 1
_symmetry_space_group_name_Hall 'P 1'
_cell_length_a 5.281
_cell_length_b 5.281
_cell_length_c 5.281
_cell_angle_alpha 90.00
_cell_angle_beta 90.00
_cell_angle_gamma 90.00
loop_
_atom_site_label
_atom_site_type_symbol
_atom_site_fract_x
_atom_site_fract_y
_atom_site_fract_z
_atom_site_occupancy
Li1 Li 0.000 0.500 0.000 1
Li2 Li 0.500 0.000 0.000 1
Sn1 Sn 0.000 0.000 0.000 1
Li3 Li 0.000 0.000 0.500 1
Cl1 Cl 0.500 0.500 0.500 1
# SG	No. 221
# formation energy from raw total energies	-110	meV per atom
# total energy	-2.543	eV/atom
# total magnetization	2.00	μB per formula unit



# LiSnCl3 GGA-PBEsol relaxed
data_LiSnCl3
_chemical_formula_sum 'Li1 Sn1 Cl3'
_symmetry_space_group_name_H-M 'P 1'
_symmetry_Int_Tables_number 1
_symmetry_space_group_name_Hall 'P 1'
_cell_length_a 5.021
_cell_length_b 5.021
_cell_length_c 5.021
_cell_angle_alpha 87.11
_cell_angle_beta 87.11
_cell_angle_gamma 87.11
loop_
_atom_site_label
_atom_site_type_symbol
_atom_site_fract_x
_atom_site_fract_y
_atom_site_fract_z
_atom_site_occupancy
Cl1 Cl 0.862 0.862 0.374 1
Sn1 Sn 0.516 0.516 0.516 1
Cl2 Cl 0.374 0.862 0.862 1
Cl3 Cl 0.862 0.374 0.862 1
Li1 Li 0.886 0.886 0.886 1
# SG	No. 160
# formation energy from raw total energies	-1287	meV per atom
# total energy	-3.737	eV/atom
# total magnetization	0.00	μB per formula unit



# SrLiCl GGA-PBEsol relaxed
data_SrLiCl
_chemical_formula_sum 'Sr1 Li1 Cl1'
_symmetry_space_group_name_H-M 'P 1'
_symmetry_Int_Tables_number 1
_symmetry_space_group_name_Hall 'P 1'
_cell_length_a 3.721
_cell_length_b 3.721
_cell_length_c 7.661
_cell_angle_alpha 104.06
_cell_angle_beta 104.06
_cell_angle_gamma 90.00
loop_
_atom_site_label
_atom_site_type_symbol
_atom_site_fract_x
_atom_site_fract_y
_atom_site_fract_z
_atom_site_occupancy
Li1 Li 0.321 0.321 0.641 1
Sr1 Sr 0.640 0.640 0.280 1
Cl1 Cl 0.040 0.040 0.079 1
# SG	No. 107
# formation energy from raw total energies	-973	meV per atom
# total energy	-2.911	eV/atom
# total magnetization	0.00	μB per formula unit



# LiTaCl GGA-PBEsol relaxed
data_LiTaCl
_chemical_formula_sum 'Li1 Ta1 Cl1'
_symmetry_space_group_name_H-M 'P 1'
_symmetry_Int_Tables_number 1
_symmetry_space_group_name_Hall 'P 1'
_cell_length_a 2.914
_cell_length_b 2.914
_cell_length_c 6.489
_cell_angle_alpha 102.97
_cell_angle_beta 102.97
_cell_angle_gamma 90.00
loop_
_atom_site_label
_atom_site_type_symbol
_atom_site_fract_x
_atom_site_fract_y
_atom_site_fract_z
_atom_site_occupancy
Ta1 Ta 0.349 0.349 0.698 1
Cl1 Cl 0.981 0.981 0.961 1
Li1 Li 0.671 0.671 0.341 1
# SG	No. 107
# formation energy from raw total energies	5	meV per atom
# total energy	-5.503	eV/atom
# total magnetization	0.00	μB per formula unit



# LiTaCl2 GGA-PBEsol relaxed
data_LiTaCl2
_chemical_formula_sum 'Li1 Ta1 Cl2'
_symmetry_space_group_name_H-M 'P 1'
_symmetry_Int_Tables_number 1
_symmetry_space_group_name_Hall 'P 1'
_cell_length_a 3.037
_cell_length_b 4.209
_cell_length_c 5.534
_cell_angle_alpha 94.91
_cell_angle_beta 90.00
_cell_angle_gamma 111.14
loop_
_atom_site_label
_atom_site_type_symbol
_atom_site_fract_x
_atom_site_fract_y
_atom_site_fract_z
_atom_site_occupancy
Li1 Li 0.500 0.000 0.000 1
Cl1 Cl 0.723 0.446 0.721 1
Ta1 Ta 0.000 0.000 0.500 1
Cl2 Cl 0.277 0.554 0.279 1
# SG	No. 12
# formation energy from raw total energies	-483	meV per atom
# total energy	-5.117	eV/atom
# total magnetization	0.00	μB per formula unit



# LiTaCl2 GGA-PBEsol relaxed
data_LiTaCl2
_chemical_formula_sum 'Li1 Ta1 Cl2'
_symmetry_space_group_name_H-M 'P 1'
_symmetry_Int_Tables_number 1
_symmetry_space_group_name_Hall 'P 1'
_cell_length_a 3.083
_cell_length_b 3.083
_cell_length_c 7.158
_cell_angle_alpha 90.00
_cell_angle_beta 90.00
_cell_angle_gamma 90.10
loop_
_atom_site_label
_atom_site_type_symbol
_atom_site_fract_x
_atom_site_fract_y
_atom_site_fract_z
_atom_site_occupancy
Cl1 Cl 0.500 0.500 0.624 1
Cl2 Cl 0.000 0.000 0.053 1
Li1 Li 0.000 0.000 0.550 1
Ta1 Ta 0.500 0.500 0.272 1
# SG	No. 35
# formation energy from raw total energies	-626	meV per atom
# total energy	-5.260	eV/atom
# total magnetization	0.00	μB per formula unit



# LiTcCl2 GGA-PBEsol relaxed
data_LiTcCl2
_chemical_formula_sum 'Li1 Tc1 Cl2'
_symmetry_space_group_name_H-M 'P 1'
_symmetry_Int_Tables_number 1
_symmetry_space_group_name_Hall 'P 1'
_cell_length_a 3.436
_cell_length_b 3.436
_cell_length_c 6.761
_cell_angle_alpha 104.72
_cell_angle_beta 104.72
_cell_angle_gamma 90.00
loop_
_atom_site_label
_atom_site_type_symbol
_atom_site_fract_x
_atom_site_fract_y
_atom_site_fract_z
_atom_site_occupancy
Cl1 Cl 0.000 0.000 0.000 1
Li1 Li 0.500 0.500 0.000 1
Tc1 Tc 0.250 0.750 0.500 1
Cl2 Cl 0.750 0.250 0.500 1
# SG	No. 119
# formation energy from raw total energies	-135	meV per atom
# total energy	-4.447	eV/atom
# total magnetization	2.98	μB per formula unit



# LiTcCl2 GGA-PBEsol relaxed
data_LiTcCl2
_chemical_formula_sum 'Li1 Tc1 Cl2'
_symmetry_space_group_name_H-M 'P 1'
_symmetry_Int_Tables_number 1
_symmetry_space_group_name_Hall 'P 1'
_cell_length_a 2.956
_cell_length_b 3.727
_cell_length_c 6.000
_cell_angle_alpha 90.00
_cell_angle_beta 100.70
_cell_angle_gamma 90.00
loop_
_atom_site_label
_atom_site_type_symbol
_atom_site_fract_x
_atom_site_fract_y
_atom_site_fract_z
_atom_site_occupancy
Tc1 Tc 0.000 0.500 0.000 1
Cl1 Cl 0.094 0.000 0.249 1
Li1 Li 0.500 0.500 0.500 1
Cl2 Cl 0.906 0.000 0.751 1
# SG	No. 10
# formation energy from raw total energies	-307	meV per atom
# total energy	-4.619	eV/atom
# total magnetization	0.00	μB per formula unit



# LiTcCl2 GGA-PBEsol relaxed
data_LiTcCl2
_chemical_formula_sum 'Li1 Tc1 Cl2'
_symmetry_space_group_name_H-M 'P 1'
_symmetry_Int_Tables_number 1
_symmetry_space_group_name_Hall 'P 1'
_cell_length_a 4.681
_cell_length_b 4.681
_cell_length_c 4.681
_cell_angle_alpha 60.00
_cell_angle_beta 60.00
_cell_angle_gamma 60.00
loop_
_atom_site_label
_atom_site_type_symbol
_atom_site_fract_x
_atom_site_fract_y
_atom_site_fract_z
_atom_site_occupancy
Li1 Li 0.500 0.500 0.500 1
Cl1 Cl 0.750 0.750 0.750 1
Cl2 Cl 0.000 0.000 0.000 1
Tc1 Tc 0.250 0.250 0.250 1
# SG	No. 216
# formation energy from raw total energies	515	meV per atom
# total energy	-3.797	eV/atom
# total magnetization	4.11	μB per formula unit



# LiTcCl2 GGA-PBEsol relaxed
data_LiTcCl2
_chemical_formula_sum 'Li1 Tc1 Cl2'
_symmetry_space_group_name_H-M 'P 1'
_symmetry_Int_Tables_number 1
_symmetry_space_group_name_Hall 'P 1'
_cell_length_a 3.069
_cell_length_b 3.071
_cell_length_c 7.232
_cell_angle_alpha 90.78
_cell_angle_beta 102.25
_cell_angle_gamma 90.00
loop_
_atom_site_label
_atom_site_type_symbol
_atom_site_fract_x
_atom_site_fract_y
_atom_site_fract_z
_atom_site_occupancy
Cl1 Cl 0.235 0.366 0.471 1
Cl2 Cl 0.996 0.883 0.993 1
Li1 Li 0.453 0.380 0.905 1
Tc1 Tc 0.816 0.871 0.631 1
# SG	No. 8
# formation energy from raw total energies	-371	meV per atom
# total energy	-4.683	eV/atom
# total magnetization	0.00	μB per formula unit



# LiTcCl GGA-PBEsol relaxed
data_LiTcCl
_chemical_formula_sum 'Li1 Tc1 Cl1'
_symmetry_space_group_name_H-M 'P 1'
_symmetry_Int_Tables_number 1
_symmetry_space_group_name_Hall 'P 1'
_cell_length_a 4.147
_cell_length_b 4.147
_cell_length_c 4.147
_cell_angle_alpha 60.00
_cell_angle_beta 60.00
_cell_angle_gamma 60.00
loop_
_atom_site_label
_atom_site_type_symbol
_atom_site_fract_x
_atom_site_fract_y
_atom_site_fract_z
_atom_site_occupancy
Li1 Li 0.250 0.250 0.250 1
Cl1 Cl 0.500 0.500 0.500 1
Tc1 Tc 0.000 0.000 0.000 1
# SG	No. 216
# formation energy from raw total energies	1132	meV per atom
# total energy	-3.948	eV/atom
# total magnetization	3.33	μB per formula unit



# LiTcCl3 GGA-PBEsol relaxed
data_LiTcCl3
_chemical_formula_sum 'Li1 Tc1 Cl3'
_symmetry_space_group_name_H-M 'P 1'
_symmetry_Int_Tables_number 1
_symmetry_space_group_name_Hall 'P 1'
_cell_length_a 4.566
_cell_length_b 4.566
_cell_length_c 4.566
_cell_angle_alpha 90.00
_cell_angle_beta 90.00
_cell_angle_gamma 90.00
loop_
_atom_site_label
_atom_site_type_symbol
_atom_site_fract_x
_atom_site_fract_y
_atom_site_fract_z
_atom_site_occupancy
Cl1 Cl 0.000 0.500 0.000 1
Cl2 Cl 0.500 0.000 0.000 1
Li1 Li 0.000 0.000 0.000 1
Tc1 Tc 0.500 0.500 0.500 1
Cl3 Cl 0.000 0.000 0.500 1
# SG	No. 221
# formation energy from raw total energies	-137	meV per atom
# total energy	-3.988	eV/atom
# total magnetization	4.99	μB per formula unit



# LiTc4Cl GGA-PBEsol relaxed
data_LiTc4Cl
_chemical_formula_sum 'Li1 Tc4 Cl1'
_symmetry_space_group_name_H-M 'P 1'
_symmetry_Int_Tables_number 1
_symmetry_space_group_name_Hall 'P 1'
_cell_length_a 5.099
_cell_length_b 5.099
_cell_length_c 5.099
_cell_angle_alpha 60.00
_cell_angle_beta 60.00
_cell_angle_gamma 60.00
loop_
_atom_site_label
_atom_site_type_symbol
_atom_site_fract_x
_atom_site_fract_y
_atom_site_fract_z
_atom_site_occupancy
Cl1 Cl 0.750 0.750 0.750 1
Tc1 Tc 0.376 0.872 0.376 1
Tc2 Tc 0.376 0.376 0.872 1
Li1 Li 0.000 0.000 0.000 1
Tc3 Tc 0.376 0.376 0.376 1
Tc4 Tc 0.872 0.376 0.376 1
# SG	No. 216
# formation energy from raw total energies	871	meV per atom
# total energy	-7.302	eV/atom
# total magnetization	0.00	μB per formula unit